! CaMn2BiO6, optimized geometry, DFT GGA+U; values from VASP
&SYSTEM
  ibrav = 0, nat = 10, ntyp = 4
/
ATOMIC_SPECIES
Ca 40.08 Ca.upf
Mn 54.94 Mn.upf
Bi 208.98 Bi.upf
O 16.00 O.upf
CELL_PARAMETERS angstrom
3.882 -3.839 0.000
3.882 3.839 0.000
-3.832 0.000 3.917
ATOMIC_POSITIONS angstrom
Ca 0.000 0.000 0.000
Mn 1.947 1.914 1.906
Mn 1.947 -1.914 1.906
Bi -0.123 0.000 3.810
O -1.884 1.546 3.863
O 0.013 1.506 1.930
O 0.013 -1.506 1.930
O -1.884 -1.546 3.863
O 2.374 0.000 2.174
O 5.491 0.000 1.575
! - SG: Cm, No. 8
! - DFT total energy: -68.0 eV per formula unit